Record 1
Entry from Alexandria: a relaxed structure of Sc3Se (PBE-GGA).

space group = Cmmm (65)
total magnetization = 0.83 μB per formula unit
VASP energy = -24.18 eV per cell
formation energy (no corrections) = -1.70 eV/f.u.

a b c (Å): 5.254 5.254 3.417
angles (deg): 90.00 90.00 112.28
Sites, in units of the cell vectors:
1 Sc 0.000 0.000 0.000
2 Sc 0.000 0.500 0.500
3 Sc 0.500 0.000 0.500
4 Se 0.500 0.500 0.000


Record 2
Entry from Alexandria: a relaxed structure of LiTaSn (PBE-GGA).

space group = Fmmm (69)
formation enthalpy at 0 K = 0.17 eV/atom
total magnetization = 0.00 μB per formula unit
VASP energy = -34.50 eV per cell

a b c (Å): 7.078 6.351 4.693
angles (deg): 78.13 61.42 40.46
Sites, in units of the cell vectors:
1 Li 0.250 0.250 0.250
2 Li 0.750 0.750 0.750
3 Ta 0.172 0.828 0.172
4 Ta 0.828 0.172 0.828
5 Sn 0.373 0.373 0.627
6 Sn 0.627 0.627 0.373


Record 3
Entry from Alexandria: a relaxed structure of Si3Sb (PBE-GGA).

space group = Pnma (62)
total magnetization = 0.00 μB per formula unit
VASP energy = -75.27 eV per cell
formation energy (no corrections) = 1.57 eV/f.u.

a b c (Å): 6.503 6.481 7.327
angles (deg): 90.00 90.00 90.00
Sites, in units of the cell vectors:
1 Si 0.116 0.250 0.120
2 Si 0.203 0.528 0.878
3 Si 0.203 0.972 0.878
4 Si 0.297 0.028 0.378
5 Si 0.297 0.472 0.378
6 Si 0.384 0.750 0.620
7 Si 0.616 0.250 0.380
8 Si 0.703 0.528 0.622
9 Si 0.703 0.972 0.622
10 Si 0.797 0.028 0.122
11 Si 0.797 0.472 0.122
12 Si 0.884 0.750 0.880
13 Sb 0.060 0.250 0.625
14 Sb 0.440 0.750 0.125
15 Sb 0.560 0.250 0.875
16 Sb 0.940 0.750 0.375


Record 4
Entry from Alexandria: a relaxed structure of CaAg8 (PBE-GGA).

space group = I4/mmm (139)
formation enthalpy at 0 K = -0.05 eV/atom
total magnetization = 0.00 μB per formula unit
VASP energy = -25.26 eV per cell

a b c (Å): 6.690 6.690 6.690
angles (deg): 95.91 95.91 142.56
Sites, in units of the cell vectors:
1 Ca 0.000 0.000 0.000
2 Ag 0.000 0.338 0.338
3 Ag 0.000 0.662 0.662
4 Ag 0.327 0.327 0.653
5 Ag 0.327 0.673 0.000
6 Ag 0.338 0.000 0.338
7 Ag 0.662 0.000 0.662
8 Ag 0.673 0.327 0.000
9 Ag 0.673 0.673 0.347


Record 5
Entry from Alexandria: a relaxed structure of Th8Sb2C3 (PBE-GGA).

space group = C2/m (12)
total magnetization = 0.00 μB per formula unit
VASP energy = -99.58 eV per cell
formation energy (no corrections) = -4.31 eV/f.u.

a b c (Å): 8.633 8.633 6.618
angles (deg): 102.72 102.72 50.48
Sites, in units of the cell vectors:
1 Th 0.095 0.095 0.926
2 Th 0.158 0.658 0.615
3 Th 0.342 0.842 0.385
4 Th 0.404 0.404 0.113
5 Th 0.596 0.596 0.887
6 Th 0.658 0.158 0.615
7 Th 0.842 0.342 0.385
8 Th 0.905 0.905 0.074
9 Sb 0.248 0.248 0.682
10 Sb 0.752 0.752 0.318
11 C 0.265 0.735 0.000
12 C 0.500 0.500 0.500
13 C 0.735 0.265 0.000


Record 6
Entry from Alexandria: a relaxed structure of ThScZnOs (PBE-GGA).

space group = F-43m (216)
formation enthalpy at 0 K = -0.26 eV/atom
total magnetization = 0.00 μB per formula unit
VASP energy = -27.31 eV per cell

a b c (Å): 4.904 4.904 4.904
angles (deg): 60.00 60.00 60.00
Sites, in units of the cell vectors:
1 Th 0.000 0.000 0.000
2 Sc 0.500 0.500 0.500
3 Zn 0.750 0.750 0.750
4 Os 0.250 0.250 0.250


Record 7
Entry from Alexandria: a relaxed structure of TlIn2F3 (PBE-GGA).

space group = P-1 (2)
total magnetization = 0.00 μB per formula unit
VASP energy = -47.38 eV per cell
formation energy (no corrections) = -10.23 eV/f.u.

a b c (Å): 6.057 6.334 8.419
angles (deg): 99.41 90.40 115.27
Sites, in units of the cell vectors:
1 Tl 0.171 0.347 0.083
2 Tl 0.829 0.653 0.917
3 In 0.116 0.267 0.629
4 In 0.461 0.889 0.672
5 In 0.539 0.111 0.328
6 In 0.884 0.733 0.371
7 F 0.178 0.813 0.186
8 F 0.264 0.096 0.798
9 F 0.316 0.593 0.842
10 F 0.684 0.407 0.158
11 F 0.736 0.904 0.202
12 F 0.822 0.187 0.814


Record 8
Entry from Alexandria: a relaxed structure of SrPI3 (PBE-GGA).

space group = Pm-3m (221)
total magnetization = 0.00 μB per formula unit
VASP energy = -13.93 eV per cell
formation energy (no corrections) = -2.19 eV/f.u.

a b c (Å): 5.656 5.656 5.656
angles (deg): 90.00 90.00 90.00
Sites, in units of the cell vectors:
1 Sr 0.000 0.000 0.000
2 P 0.500 0.500 0.500
3 I 0.000 0.500 0.500
4 I 0.500 0.000 0.500
5 I 0.500 0.500 0.000


Record 9
Entry from Alexandria: a relaxed structure of Pr5CdAu4 (PBE-GGA).

space group = P4/mmm (123)
formation enthalpy at 0 K = -0.66 eV/atom
total magnetization = 0.00 μB per formula unit
VASP energy = -44.53 eV per cell

a b c (Å): 3.766 3.766 18.904
angles (deg): 90.00 90.00 90.00
Sites, in units of the cell vectors:
1 Pr 0.000 0.000 0.000
2 Pr 0.000 0.000 0.197
3 Pr 0.000 0.000 0.392
4 Pr 0.000 0.000 0.608
5 Pr 0.000 0.000 0.803
6 Cd 0.500 0.500 0.500
7 Au 0.500 0.500 0.098
8 Au 0.500 0.500 0.297
9 Au 0.500 0.500 0.703
10 Au 0.500 0.500 0.902


Record 10
Entry from Alexandria: a relaxed structure of NdMg2Cd2Hg2 (PBE-GGA).

space group = R-3m (166)
formation enthalpy at 0 K = -0.22 eV/atom
total magnetization = 0.00 μB per formula unit
VASP energy = -11.95 eV per cell

a b c (Å): 8.844 8.844 8.844
angles (deg): 32.35 32.35 32.35
Sites, in units of the cell vectors:
1 Nd 0.000 0.000 0.000
2 Mg 0.132 0.132 0.132
3 Mg 0.868 0.868 0.868
4 Cd 0.251 0.251 0.251
5 Cd 0.749 0.749 0.749
6 Hg 0.397 0.397 0.397
7 Hg 0.603 0.603 0.603


Record 11
Entry from Alexandria: a relaxed structure of LiPu2Fe (PBE-GGA).

space group = P4/mmm (123)
formation enthalpy at 0 K = 0.14 eV/atom
total magnetization = 10.02 μB per formula unit
VASP energy = -38.46 eV per cell

a b c (Å): 3.158 3.158 8.688
angles (deg): 90.00 90.00 90.00
Sites, in units of the cell vectors:
1 Li 0.000 0.000 0.000
2 Pu 0.500 0.500 0.300
3 Pu 0.500 0.500 0.700
4 Fe 0.000 0.000 0.500


Record 12
Entry from Alexandria: a relaxed structure of PrHoCdPt (PBE-GGA).

space group = F-43m (216)
formation enthalpy at 0 K = -0.65 eV/atom
total magnetization = 0.00 μB per formula unit
VASP energy = -18.92 eV per cell

a b c (Å): 5.189 5.189 5.189
angles (deg): 60.00 60.00 60.00
Sites, in units of the cell vectors:
1 Pr 0.000 0.000 0.000
2 Ho 0.500 0.500 0.500
3 Cd 0.250 0.250 0.250
4 Pt 0.750 0.750 0.750


Record 13
Entry from Alexandria: a relaxed structure of Mg3BiN (PBE-GGA).

space group = P-1 (2)
total magnetization = 0.00 μB per formula unit
VASP energy = -37.86 eV per cell
formation energy (no corrections) = -1.94 eV/f.u.

a b c (Å): 3.292 5.943 10.199
angles (deg): 98.10 90.06 90.31
Sites, in units of the cell vectors:
1 Mg 0.245 0.120 0.379
2 Mg 0.250 0.591 0.404
3 Mg 0.255 0.665 0.831
4 Mg 0.745 0.335 0.169
5 Mg 0.750 0.409 0.596
6 Mg 0.755 0.880 0.621
7 Bi 0.250 0.789 0.130
8 Bi 0.750 0.211 0.870
9 N 0.253 0.645 0.622
10 N 0.747 0.355 0.378


Record 14
Entry from Alexandria: a relaxed structure of Ca2NdEr (PBE-GGA).

space group = P4/mmm (123)
formation enthalpy at 0 K = 0.16 eV/atom
total magnetization = 0.00 μB per formula unit
VASP energy = -12.68 eV per cell

a b c (Å): 4.149 4.149 8.386
angles (deg): 90.00 90.00 90.00
Sites, in units of the cell vectors:
1 Ca 0.000 0.000 0.242
2 Ca 0.000 0.000 0.758
3 Nd 0.500 0.500 0.500
4 Er 0.500 0.500 0.000


Record 15
Entry from Alexandria: a relaxed structure of LaCe2SnC (PBE-GGA).

space group = P4/mmm (123)
formation enthalpy at 0 K = -0.47 eV/atom
total magnetization = 1.39 μB per formula unit
VASP energy = -32.35 eV per cell

a b c (Å): 4.976 4.976 5.219
angles (deg): 90.00 90.00 90.00
Sites, in units of the cell vectors:
1 La 0.000 0.000 0.000
2 Ce 0.000 0.500 0.500
3 Ce 0.500 0.000 0.500
4 Sn 0.500 0.500 0.000
5 C 0.000 0.000 0.500


Record 16
Entry from Alexandria: a relaxed structure of SmHo4MgS8 (PBE-GGA).

space group = R3m (160)
total magnetization = 0.00 μB per formula unit
VASP energy = -84.39 eV per cell
formation energy (no corrections) = -26.75 eV/f.u.

a b c (Å): 7.993 7.993 7.993
angles (deg): 59.78 59.78 59.78
Sites, in units of the cell vectors:
1 Sm 0.000 0.000 0.000
2 Ho 0.000 0.000 0.511
3 Ho 0.000 0.511 0.000
4 Ho 0.377 0.377 0.377
5 Ho 0.511 0.000 0.000
6 Mg 0.627 0.627 0.627
7 S 0.242 0.753 0.753
8 S 0.244 0.244 0.244
9 S 0.249 0.249 0.775
10 S 0.249 0.775 0.249
11 S 0.753 0.242 0.753
12 S 0.753 0.753 0.242
13 S 0.756 0.756 0.756
14 S 0.775 0.249 0.249


Record 17
Entry from Alexandria: a relaxed structure of Ba2ErTlS5 (PBE-GGA).

space group = Cmc2_1 (36)
total magnetization = 0.00 μB per formula unit
VASP energy = -91.25 eV per cell
formation energy (no corrections) = -14.21 eV/f.u.

a b c (Å): 9.396 9.396 13.025
angles (deg): 90.00 90.00 154.47
Sites, in units of the cell vectors:
1 Ba 0.118 0.882 0.500
2 Ba 0.137 0.863 0.128
3 Ba 0.863 0.137 0.628
4 Ba 0.882 0.118 0.000
5 Er 0.212 0.788 0.833
6 Er 0.788 0.212 0.333
7 Tl 0.455 0.545 0.261
8 Tl 0.545 0.455 0.761
9 S 0.055 0.945 0.876
10 S 0.290 0.710 0.469
11 S 0.313 0.687 0.191
12 S 0.355 0.645 0.818
13 S 0.494 0.506 0.586
14 S 0.506 0.494 0.086
15 S 0.645 0.355 0.318
16 S 0.687 0.313 0.691
17 S 0.710 0.290 0.969
18 S 0.945 0.055 0.376


Record 18
Entry from Alexandria: a relaxed structure of Y2Er7Th2 (PBE-GGA).

space group = C2/m (12)
formation enthalpy at 0 K = 0.19 eV/atom
total magnetization = 0.00 μB per formula unit
VASP energy = -57.64 eV per cell

a b c (Å): 8.029 8.029 5.963
angles (deg): 106.19 106.19 91.27
Sites, in units of the cell vectors:
1 Y 0.235 0.235 0.089
2 Y 0.765 0.765 0.911
3 Er 0.000 0.000 0.500
4 Er 0.059 0.594 0.335
5 Er 0.406 0.941 0.665
6 Er 0.409 0.409 0.694
7 Er 0.591 0.591 0.306
8 Er 0.594 0.059 0.335
9 Er 0.941 0.406 0.665
10 Th 0.214 0.786 0.000
11 Th 0.786 0.214 0.000


Record 19
Entry from Alexandria: a relaxed structure of Cs2Tl4HgPb3 (PBE-GGA).

space group = P-4m2 (115)
formation enthalpy at 0 K = -0.08 eV/atom
total magnetization = 0.00 μB per formula unit
VASP energy = -23.41 eV per cell

a b c (Å): 5.457 5.457 12.816
angles (deg): 90.00 90.00 90.00
Sites, in units of the cell vectors:
1 Cs 0.000 0.500 0.248
2 Cs 0.500 0.000 0.752
3 Tl 0.000 0.000 0.000
4 Tl 0.000 0.500 0.624
5 Tl 0.500 0.000 0.376
6 Tl 0.500 0.500 0.000
7 Hg 0.000 0.000 0.500
8 Pb 0.000 0.500 0.869
9 Pb 0.500 0.000 0.131
10 Pb 0.500 0.500 0.500


Record 20
Entry from Alexandria: a relaxed structure of BaLiOs2 (PBE-GGA).

space group = C2/m (12)
formation enthalpy at 0 K = 0.85 eV/atom
total magnetization = 0.00 μB per formula unit
VASP energy = -22.90 eV per cell

a b c (Å): 5.349 5.349 4.963
angles (deg): 100.16 100.16 32.10
Sites, in units of the cell vectors:
1 Ba 0.000 0.000 0.000
2 Li 0.500 0.500 0.500
3 Os 0.223 0.223 0.693
4 Os 0.777 0.777 0.307


Record 21
Entry from Alexandria: a relaxed structure of CuSeF (PBE-GGA).

space group = P2_1/m (11)
total magnetization = 0.00 μB per formula unit
VASP energy = -22.64 eV per cell
formation energy (no corrections) = -1.87 eV/f.u.

a b c (Å): 4.195 4.154 5.459
angles (deg): 90.00 94.20 90.00
Sites, in units of the cell vectors:
1 Cu 0.210 0.250 0.251
2 Cu 0.790 0.750 0.749
3 Se 0.258 0.750 0.503
4 Se 0.742 0.250 0.497
5 F 0.229 0.250 0.908
6 F 0.771 0.750 0.092


Record 22
Entry from Alexandria: a relaxed structure of CoCu3 (PBE-GGA).

space group = R-3m (166)
formation enthalpy at 0 K = 0.15 eV/atom
total magnetization = 1.20 μB per formula unit
VASP energy = -18.79 eV per cell

a b c (Å): 4.781 4.781 4.781
angles (deg): 117.19 117.19 117.19
Sites, in units of the cell vectors:
1 Co 0.000 0.000 0.000
2 Cu 0.000 0.500 0.500
3 Cu 0.500 0.000 0.500
4 Cu 0.500 0.500 0.000


Record 23
Entry from Alexandria: a relaxed structure of Li2ZrTiAg (PBE-GGA).

space group = P4/mmm (123)
formation enthalpy at 0 K = 0.62 eV/atom
total magnetization = 2.37 μB per formula unit
VASP energy = -20.00 eV per cell

a b c (Å): 4.463 4.463 5.180
angles (deg): 90.00 90.00 90.00
Sites, in units of the cell vectors:
1 Li 0.000 0.500 0.000
2 Li 0.500 0.000 0.000
3 Zr 0.000 0.000 0.500
4 Ti 0.500 0.500 0.500
5 Ag 0.500 0.500 0.000


Record 24
Entry from Alexandria: a relaxed structure of SrPtBr (PBE-GGA).

space group = P-6m2 (187)
total magnetization = 0.00 μB per formula unit
VASP energy = -11.44 eV per cell
formation energy (no corrections) = -2.04 eV/f.u.

a b c (Å): 4.779 4.779 3.873
angles (deg): 90.00 90.00 120.00
Sites, in units of the cell vectors:
1 Sr 0.000 0.000 0.000
2 Pt 0.333 0.667 0.500
3 Br 0.667 0.333 0.500